No. 1
5
Lattice="4.6986 0.0000 0.0000 0.0000 4.6986 0.0000 0.0000 0.0000 4.7534" Properties=species:S:1:pos:R:3 comment="ZnMoPd2W | Alexandria via LeMat-Bulk | PBE-GGA | relaxed" e_form_ev_per_atom=1.75 crystal_system=tetragonal pbc="T T T"
Zn 0.0000 0.0000 0.0000
Mo 2.3493 2.3493 0.0000
Pd 0.0000 2.3493 2.3767
Pd 2.3493 0.0000 2.3767
W 0.0000 0.0000 2.3767

=====

No. 2
8
Lattice="3.9582 0.0000 0.0000 0.0000 4.1216 0.0000 0.0000 0.0000 9.3484" Properties=species:S:1:pos:R:3 comment="YTeRh2 | Alexandria via LeMat-Bulk | PBE-GGA | relaxed" de_polymorph_mev_per_atom=27 formation_energy_uncorrected_ev_per_atom=-0.587 crystal_system=orthorhombic pbc="T T T"
Y 0.0000 0.0000 0.0000
Y 1.9791 2.0608 4.6742
Te 0.0000 2.0608 2.2992
Te 1.9791 0.0000 6.9734
Rh 0.0000 0.0000 4.7326
Rh 0.0000 2.0608 7.0664
Rh 1.9791 0.0000 2.3922
Rh 1.9791 2.0608 0.0584

=====

What did we get for V? Answer: 105; 153 Å³/cell, in the order shown.
What did we get for total magnetization? Answer: 0.000; 0.000 μB per atom, in the order shown.